Entry from the Alexandria database: a geometry-optimized PrAl4Zn4 structure (PBE).

Properties
Theoretical density, g cm⁻³: 5.0
Calculated total energy, eV/atom: -2.8104

CIF file:
```
data_PrAl4Zn4
_symmetry_space_group_name_H-M 'P 42/n'
_symmetry_Int_Tables_number 86
_cell_length_a 8.309
_cell_length_b 8.309
_cell_length_c 4.946
_cell_angle_alpha 90.00
_cell_angle_beta 90.00
_cell_angle_gamma 90.00
loop_
_symmetry_equiv_pos_as_xyz
'x,y,z'
'-x,-y,-z'
'-y,x+1/2,z+1/2'
'y,-x+1/2,-z+1/2'
'-x+1/2,-y+1/2,z'
'x+1/2,y+1/2,-z'
'y+1/2,-x,z+1/2'
'-y+1/2,x,-z+1/2'
loop_
_atom_site_label
_atom_site_type_symbol
_atom_site_fract_x
_atom_site_fract_y
_atom_site_fract_z
Pr1 Pr 0.250 0.250 0.250
Al1 Al 0.118 0.829 0.732
Zn1 Zn 0.015 0.122 0.765
```